This record from the Alexandria database describes KCaGe2Pd after structural relaxation. The functional is PBE.

Calculated values
magnetic moment = 0.000 μB per formula unit
electronic total energy = -13.090 eV for the cell shown
crystal system = tetragonal
N(E_F) = 0.7717 states/eV per atom

a b c (Å): 5.489 5.489 5.044
angles (deg): 90.00 90.00 90.00
Space group P4/mmm (No. 123)
Asymmetric unit:
K1 0.000 0.000 0.000
Ca1 0.500 0.500 0.500
Ge1 0.000 0.500 0.000
Pd1 0.000 0.000 0.500